Material: SrRuW2
Method: DFT, PBE-GGA
State: relaxed

ΔE to the lowest computed polymorph in meV per atom: 576
N(E_F) in states/eV/cell: 4.300

a b c (Å): 3.8876 3.8876 5.0110
angles (deg): 90.00 90.00 90.00
Space group P4/mmm (No. 123)
One atom of each set of equivalent atoms:
Sr 0.0000 0.0000 0.0000 [1 per cell]
Ru 0.5000 0.5000 0.0000 [1 per cell]
W 0.0000 0.5000 0.5000 [2 per cell]